A plane-wave DFT calculation with PBE+U was carried out for an optimized crystal structure of FeAu3O.

Properties
SG = Pm-3m (221)
volume = 113.6 Å³/cell
energy relative to the lowest polymorph listed for this composition = 581 meV per atom

```
FeAu3O
1.0
4.8436 0.0000 0.0000
0.0000 4.8436 0.0000
0.0000 0.0000 4.8436
Fe Au O
1 3 1
Cartesian
0.0000 0.0000 0.0000
0.0000 0.0000 2.4218
0.0000 2.4218 0.0000
2.4218 0.0000 0.0000
2.4218 2.4218 2.4218
```